A plane-wave DFT calculation with PBE was carried out for a relaxed Sc4Al2ZnCd crystal.

Calculated values
As for the crystal system: trigonal. The calculation puts the formation energy at -0.3901 eV per atom. The density of states at the Fermi level comes out at 0.799 states/eV per atom. The calculation puts the magnetization at 0.00 μB per formula unit.

Structure (CIF):
```
data_Sc4Al2ZnCd
_chemical_formula_sum 'Sc12 Al6 Zn3 Cd3'
_symmetry_space_group_name_H-M 'R -3 m'
_symmetry_Int_Tables_number 166
_symmetry_space_group_name_Hall '-R 3 2"'
_cell_length_a 4.8355
_cell_length_b 4.8355
_cell_length_c 23.6784
_cell_angle_alpha 90.00
_cell_angle_beta 90.00
_cell_angle_gamma 120.00
loop_
_atom_site_label
_atom_site_fract_x
_atom_site_fract_y
_atom_site_fract_z
_atom_site_occupancy
Sc1 0.0000 0.0000 0.1213 1
Sc2 0.0000 0.0000 0.3717 1
Al1 0.0000 0.0000 0.2484 1
Zn1 0.0000 0.0000 0.0000 1
Cd1 0.0000 0.0000 0.5000 1
```



A plane-wave DFT calculation with PBE was carried out for a relaxed ZrScAlCd crystal.

Calculated values
As for the excess energy over the best structure of this formula in the dataset: 0 meV/atom. As for the crystal system: tetragonal. The calculation puts the formation energy at -0.3284 eV per atom. The density of states at the Fermi level comes out at 0.955 states/eV per atom. The calculation puts the magnetization at 0.20 μB per formula unit.

Structure (CIF):
```
data_ZrScAlCd
_chemical_formula_sum 'Zr1 Sc1 Al1 Cd1'
_symmetry_space_group_name_H-M 'P 4 m m'
_symmetry_Int_Tables_number 99
_symmetry_space_group_name_Hall 'P 4 -2'
_cell_length_a 3.117
_cell_length_b 3.117
_cell_length_c 8.464
_cell_angle_alpha 90.00
_cell_angle_beta 90.00
_cell_angle_gamma 90.00
loop_
_atom_site_label
_atom_site_fract_x
_atom_site_fract_y
_atom_site_fract_z
_atom_site_occupancy
Zr1 0.000 0.000 0.000 1
Sc1 0.000 0.000 0.529 1
Al1 0.500 0.500 0.767 1
Cd1 0.500 0.500 0.267 1
```



A plane-wave DFT calculation with PBE was carried out for a relaxed ZrScAlCd crystal.

Calculated values
As for the excess energy over the best structure of this formula in the dataset: 56 meV/atom. As for the crystal system: cubic. The calculation puts the formation energy at -0.2722 eV per atom. The density of states at the Fermi level comes out at 0.491 states/eV per atom. The calculation puts the magnetization at 0.00 μB per formula unit.

Structure (CIF):
```
data_ZrScAlCd
_chemical_formula_sum 'Zr4 Sc4 Al4 Cd4'
_symmetry_space_group_name_H-M 'F -4 3 m'
_symmetry_Int_Tables_number 216
_symmetry_space_group_name_Hall 'F -4 2 3'
_cell_length_a 6.911
_cell_length_b 6.911
_cell_length_c 6.911
_cell_angle_alpha 90.00
_cell_angle_beta 90.00
_cell_angle_gamma 90.00
loop_
_atom_site_label
_atom_site_fract_x
_atom_site_fract_y
_atom_site_fract_z
_atom_site_occupancy
Zr1 0.000 0.000 0.000 1
Sc1 0.000 0.000 0.500 1
Al1 0.250 0.250 0.750 1
Cd1 0.250 0.250 0.250 1
```



A plane-wave DFT calculation with PBE was carried out for a relaxed Al4CdSe7 crystal.

Calculated values
As for the crystal system: orthorhombic. The value obtained for the formation energy without anion corrections is -0.781 eV/atom. The density of states at the Fermi level comes out at 0.000 states/eV per atom. The calculation puts the magnetization at 0.00 μB per formula unit.

Structure (CIF):
```
data_Al4CdSe7
_chemical_formula_sum 'Al8 Cd2 Se14'
_symmetry_space_group_name_H-M 'P m n 21'
_symmetry_Int_Tables_number 31
_symmetry_space_group_name_Hall 'P 2ac -2'
_cell_length_a 16.163
_cell_length_b 6.858
_cell_length_c 6.508
_cell_angle_alpha 90.00
_cell_angle_beta 90.00
_cell_angle_gamma 90.00
loop_
_atom_site_label
_atom_site_fract_x
_atom_site_fract_y
_atom_site_fract_z
_atom_site_occupancy
Al1 0.126 0.173 0.000 1
Al2 0.244 0.329 0.468 1
Cd1 0.000 0.656 0.920 1
Se1 0.000 0.287 0.828 1
Se2 0.117 0.199 0.358 1
Se3 0.136 0.849 0.845 1
Se4 0.248 0.333 0.849 1
```



A plane-wave DFT calculation with PBE was carried out for a relaxed AlCdSe3 crystal.

Calculated values
As for the excess energy over the best structure of this formula in the dataset: 542 meV/atom. As for the crystal system: cubic. The value obtained for the formation energy without anion corrections is 0.528 eV/atom. The density of states at the Fermi level comes out at 1.233 states/eV per atom. The calculation puts the magnetization at 0.00 μB per formula unit.

Structure (CIF):
```
data_AlCdSe3
_chemical_formula_sum 'Al1 Cd1 Se3'
_symmetry_space_group_name_H-M 'P m -3 m'
_symmetry_Int_Tables_number 221
_symmetry_space_group_name_Hall '-P 4 2 3'
_cell_length_a 5.268
_cell_length_b 5.268
_cell_length_c 5.268
_cell_angle_alpha 90.00
_cell_angle_beta 90.00
_cell_angle_gamma 90.00
loop_
_atom_site_label
_atom_site_fract_x
_atom_site_fract_y
_atom_site_fract_z
_atom_site_occupancy
Al1 0.000 0.000 0.000 1
Cd1 0.500 0.500 0.500 1
Se1 0.000 0.500 0.500 1
```



A plane-wave DFT calculation with PBE was carried out for a relaxed Al5CdSe8 crystal.

Calculated values
As for the crystal system: cubic. The value obtained for the formation energy without anion corrections is -0.726 eV/atom. The density of states at the Fermi level comes out at 0.275 states/eV per atom. The calculation puts the magnetization at 0.00 μB per formula unit.

Structure (CIF):
```
data_Al5CdSe8
_chemical_formula_sum 'Al20 Cd4 Se32'
_symmetry_space_group_name_H-M 'F -4 3 m'
_symmetry_Int_Tables_number 216
_symmetry_space_group_name_Hall 'F -4 2 3'
_cell_length_a 10.872
_cell_length_b 10.872
_cell_length_c 10.872
_cell_angle_alpha 90.00
_cell_angle_beta 90.00
_cell_angle_gamma 90.00
loop_
_atom_site_label
_atom_site_fract_x
_atom_site_fract_y
_atom_site_fract_z
_atom_site_occupancy
Al1 0.000 0.000 0.000 1
Al2 0.123 0.123 0.623 1
Cd1 0.250 0.250 0.250 1
Se1 0.112 0.112 0.388 1
Se2 0.133 0.133 0.867 1
```



A plane-wave DFT calculation with PBE was carried out for a relaxed Al2CdSe2 crystal.

Calculated values
As for the excess energy over the best structure of this formula in the dataset: 0 meV/atom. As for the crystal system: tetragonal. The value obtained for the formation energy without anion corrections is -0.130 eV/atom. The density of states at the Fermi level comes out at 0.552 states/eV per atom. The calculation puts the magnetization at 0.00 μB per formula unit.

Structure (CIF):
```
data_Al2CdSe2
_chemical_formula_sum 'Al4 Cd2 Se4'
_symmetry_space_group_name_H-M 'I 4/m m m'
_symmetry_Int_Tables_number 139
_symmetry_space_group_name_Hall '-I 4 2'
_cell_length_a 4.754
_cell_length_b 4.754
_cell_length_c 11.412
_cell_angle_alpha 90.00
_cell_angle_beta 90.00
_cell_angle_gamma 90.00
loop_
_atom_site_label
_atom_site_fract_x
_atom_site_fract_y
_atom_site_fract_z
_atom_site_occupancy
Al1 0.000 0.500 0.250 1
Cd1 0.000 0.000 0.000 1
Se1 0.000 0.000 0.343 1
```



A plane-wave DFT calculation with PBE was carried out for a relaxed AlCd3Se4 crystal.

Calculated values
As for the excess energy over the best structure of this formula in the dataset: 0 meV/atom. As for the crystal system: tetragonal. The value obtained for the formation energy without anion corrections is -0.573 eV/atom. The density of states at the Fermi level comes out at 0.347 states/eV per atom. The calculation puts the magnetization at 0.00 μB per formula unit.

Structure (CIF):
```
data_AlCd3Se4
_chemical_formula_sum 'Al2 Cd6 Se8'
_symmetry_space_group_name_H-M 'I -4 2 m'
_symmetry_Int_Tables_number 121
_symmetry_space_group_name_Hall 'I -4 2'
_cell_length_a 6.249
_cell_length_b 6.249
_cell_length_c 11.984
_cell_angle_alpha 90.00
_cell_angle_beta 90.00
_cell_angle_gamma 90.00
loop_
_atom_site_label
_atom_site_fract_x
_atom_site_fract_y
_atom_site_fract_z
_atom_site_occupancy
Al1 0.000 0.000 0.000 1
Cd1 0.000 0.000 0.500 1
Cd2 0.000 0.500 0.250 1
Se1 0.227 0.227 0.882 1
```